Model P:
First-principles (PBE) data for a geometry-optimized EuScIn structure, as listed in Alexandria.

Computed properties:
Volume ... 85 Å³ per cell

abc: 3.7281 3.7281 6.6694
angles: 106.23 106.23 90.00
Each line ends with the local moment (μB).
Sites, in units of the cell vectors:
Eu1 0.6115 0.6115 0.2230  6.99
Sc1 0.3060 0.3060 0.6120  0.47
In1 0.9325 0.9325 0.8651  -0.02



Model Q:
First-principles (PBE) data for a geometry-optimized EuScIn structure, as listed in Alexandria.

Computed properties:
Volume ... 85 Å³ per cell

abc: 3.6012 5.2312 5.2312
angles: 120.00 90.00 90.00
Each line ends with the local moment (μB).
Sites, in units of the cell vectors:
Eu1 0.9955 0.0000 0.0000  6.85
Sc1 0.4570 0.3333 0.6667  0.09
In1 0.5475 0.6667 0.3333  -0.03



Most stable: model P



Model P:
First-principles (PBE) data for a geometry-optimized Eu2ScIn structure, as listed in Alexandria.

Computed properties:
Volume ... 121 Å³ per cell

abc: 5.5543 5.5543 5.5543
angles: 60.00 60.00 60.00
Each line ends with the local moment (μB).
Sites, in units of the cell vectors:
Eu1 0.2500 0.2500 0.2500  6.82
Eu2 0.7500 0.7500 0.7500  6.82
Sc1 0.0000 0.0000 0.0000  0.15
In1 0.5000 0.5000 0.5000  -0.03



Model Q:
First-principles (PBE) data for a geometry-optimized Eu2ScIn structure, as listed in Alexandria.

Computed properties:
Volume ... 123 Å³ per cell

abc: 4.1025 4.1025 7.3064
angles: 90.00 90.00 90.00
Each line ends with the local moment (μB).
Sites, in units of the cell vectors:
Eu1 0.0000 0.0000 0.7562  6.84
Eu2 0.0000 0.0000 0.2438  6.84
Sc1 0.5000 0.5000 0.5000  0.15
In1 0.5000 0.5000 0.0000  -0.01



Model R:
First-principles (PBE) data for a geometry-optimized Eu2ScIn structure, as listed in Alexandria.

Computed properties:
Volume ... 118 Å³ per cell

abc: 5.0305 4.8399 4.8399
angles: 90.00 90.00 90.00
Each line ends with the local moment (μB).
Sites, in units of the cell vectors:
Eu1 0.0000 0.0000 0.5000  6.86
Eu2 0.0000 0.5000 0.0000  6.86
Sc1 0.5000 0.0000 0.0000  0.11
In1 0.5000 0.5000 0.5000  -0.05



Most stable: model R